A geometry-optimized Nd12Ru6Au structure. Source: Alexandria via LeMat-Bulk, functional GGA-PBE.

Cell lengths 8.7536, 8.7536, 8.7536 Å; angles 109.47, 109.47, 109.47 degrees
Last column: nearest neighbours and their distance in Å.
Sites, in units of the cell vectors:
Nd1 0.1013 0.2966 0.8047  1 Ru 2.77
Nd2 0.1953 0.4919 0.2966  1 Ru 2.77
Nd3 0.1953 0.8987 0.7034  1 Ru 2.77
Nd4 0.2966 0.1953 0.4919  1 Ru 2.77
Nd5 0.2966 0.8047 0.1013  1 Ru 2.77
Nd6 0.4919 0.2966 0.1953  1 Ru 2.77
Nd7 0.5081 0.7034 0.8047  1 Ru 2.77
Nd8 0.7034 0.1953 0.8987  1 Ru 2.77
Nd9 0.7034 0.8047 0.5081  1 Ru 2.77
Nd10 0.8047 0.1013 0.2966  1 Ru 2.77
Nd11 0.8047 0.5081 0.7034  1 Ru 2.77
Nd12 0.8987 0.7034 0.1953  1 Ru 2.77
Ru1 0.1218 0.5000 0.6218  1 Ru 2.46
Ru2 0.3782 0.8782 0.5000  1 Ru 2.46
Ru3 0.5000 0.3782 0.8782  1 Ru 2.46
Ru4 0.5000 0.6218 0.1218  1 Ru 2.46
Ru5 0.6218 0.1218 0.5000  1 Ru 2.46
Ru6 0.8782 0.5000 0.3782  1 Ru 2.46
Au1 0.0000 0.0000 0.0000  12 Nd 3.59

Calculated values
raw total energy	-6.313	eV per atom
D(E_F)	0.87	states/eV/atom
symmetry	No. 204
theoretical density	8.15	g/cm3
energy of formation	-200.5	meV/atom